# Ag2GeAsSe4

A geometry-optimized Ag2GeAsSe4 structure (GGA-PBE, Alexandria).

Unit cell a=4.105 b=6.799 c=6.877 alpha=81.45 beta=88.40 gamma=73.50
Atoms (fractional coordinates):
Ag 0.000 0.000 0.000
Ag 0.229 0.525 0.742
Ge 0.487 0.032 0.501
As 0.709 0.520 0.243
Se 0.195 0.765 0.370
Se 0.445 0.253 0.157
Se 0.602 0.725 0.904
Se 0.947 0.246 0.647

Summary:
M_tot, μB per formula unit: 0.0
Energy relative to the elements, uncorrected, meV/atom: -118.1
SG: P1
Electronic total energy, eV/atom: -3.73